12
Lattice="2.7995 -4.8497 0.0000 2.7995 4.8497 0.0000 -1.8644 0.0000 5.2770" Properties=species:S:1:pos:R:3 comment="TmSc5N6, relaxed, DFT PBE" total_energy_ev_per_cell=-108.69 magmom_total_mub_per_atom=0.00 raw_formation_energy_ev_per_atom=-1.88 volume_a3_per_atom=11.94 pbc="T T T"
Tm 0.0000 0.0000 0.0000
Sc 1.8672 3.2180 2.6385
Sc 2.7995 1.6143 0.0000
Sc 1.8672 0.0000 2.6385
Sc 2.7995 -1.6143 0.0000
Sc 1.8672 -3.2180 2.6385
N 0.9527 1.6491 1.3377
N 0.0394 0.0000 3.9379
N 0.9527 -1.6491 1.3377
N 2.7817 1.6491 3.9393
N 3.6951 0.0000 1.3391
N 2.7817 -1.6491 3.9393